KTl2Se after structural relaxation. Source: Alexandria via LeMat-Bulk, functional GGA-PBEsol.

Cell lengths 4.038, 4.038, 7.189 Å; angles 90.00, 90.00, 90.00 degrees
Sites, in units of the cell vectors:
K (0.000, 0.000, 0.527)
Se (0.500, 0.500, 0.789)
Tl (0.000, 0.000, 0.984)
Tl (0.500, 0.500, 0.200)

Results
The uncorrected formation energy is -0.39 eV per atom. For the density of states at the Fermi level, the calculation gives 1.30 states/eV/cell. As for the offset from the most stable computed form: 0.071 eV per atom. The calculation puts the energy at -2.953 eV per atom. Its symmetry is P4mm, No. 99.

KTlSe2 after structural relaxation. Source: Alexandria via LeMat-Bulk, functional GGA-PBEsol.

Cell lengths 2.941, 5.811, 6.207 Å; angles 90.00, 90.00, 90.00 degrees
Sites, in units of the cell vectors:
K (0.500, 0.500, 0.500)
Se (0.000, 0.000, 0.500)
Se (0.500, 0.500, 0.000)
Tl (0.000, 0.000, 0.000)

Results
The uncorrected formation energy is -0.43 eV per atom. For the density of states at the Fermi level, the calculation gives 2.18 states/eV/cell. As for the offset from the most stable computed form: 0.162 eV per atom. The calculation puts the energy at -3.294 eV per atom. Its symmetry is Pmmm, No. 47.

KTl2Se after structural relaxation. Source: Alexandria via LeMat-Bulk, functional GGA-PBEsol.

Cell lengths 4.540, 4.540, 6.071 Å; angles 90.14, 90.00, 90.00 degrees
Sites, in units of the cell vectors:
Tl (0.000, 0.126, 0.089)
Tl (0.500, 0.626, 0.089)
K (0.000, 0.624, 0.576)
Se (0.500, 0.124, 0.746)

Results
The uncorrected formation energy is -0.46 eV per atom. For the density of states at the Fermi level, the calculation gives 0.98 states/eV/cell. As for the offset from the most stable computed form: 0.000 eV per atom. The calculation puts the energy at -3.024 eV per atom. Its symmetry is Pm, No. 6.

KTl2Se after structural relaxation. Source: Alexandria via LeMat-Bulk, functional GGA-PBEsol.

Cell lengths 4.049, 4.049, 7.208 Å; angles 90.00, 90.00, 90.00 degrees
Sites, in units of the cell vectors:
K (0.500, 0.500, 0.000)
Se (0.500, 0.500, 0.500)
Tl (0.000, 0.000, 0.705)
Tl (0.000, 0.000, 0.295)

Results
The uncorrected formation energy is -0.30 eV per atom. For the density of states at the Fermi level, the calculation gives 1.81 states/eV/cell. As for the offset from the most stable computed form: 0.168 eV per atom. The calculation puts the energy at -2.856 eV per atom. Its symmetry is P4/mmm, No. 123.

KTlSe2 after structural relaxation. Source: Alexandria via LeMat-Bulk, functional GGA-PBEsol.

Cell lengths 7.044, 7.044, 7.044 Å; angles 100.07, 114.36, 114.36 degrees
Sites, in units of the cell vectors:
Tl (0.000, 0.000, 0.000)
Tl (0.500, 0.750, 0.250)
K (0.000, 0.500, 0.500)
K (0.500, 0.250, 0.750)
Se (0.939, 0.875, 0.314)
Se (0.061, 0.375, 0.936)
Se (0.561, 0.686, 0.625)
Se (0.439, 0.064, 0.125)

Results
The uncorrected formation energy is -0.59 eV per atom. As for the offset from the most stable computed form: 0.000 eV per atom. The calculation puts the energy at -3.456 eV per atom. Its symmetry is I-42d, No. 122.

KTl2Se after structural relaxation. Source: Alexandria via LeMat-Bulk, functional GGA-PBEsol.

Cell lengths 3.809, 5.403, 6.470 Å; angles 114.68, 107.12, 90.00 degrees
Sites, in units of the cell vectors:
Tl (0.788, 0.788, 0.576)
Tl (0.212, 0.212, 0.424)
K (0.000, 0.500, 0.000)
Se (0.500, 0.000, 0.000)

Results
The uncorrected formation energy is -0.45 eV per atom. For the density of states at the Fermi level, the calculation gives 1.61 states/eV/cell. As for the offset from the most stable computed form: 0.012 eV per atom. The calculation puts the energy at -3.013 eV per atom. Its symmetry is Immm, No. 71.

KTlSe2 after structural relaxation. Source: Alexandria via LeMat-Bulk, functional GGA-PBEsol.

Cell lengths 4.158, 4.158, 9.373 Å; angles 77.19, 77.19, 60.00 degrees
Sites, in units of the cell vectors:
Tl (0.500, 0.500, 0.500)
K (0.000, 0.000, 0.000)
Se (0.889, 0.889, 0.332)
Se (0.111, 0.111, 0.668)

Results
The uncorrected formation energy is -0.29 eV per atom. For the density of states at the Fermi level, the calculation gives 1.45 states/eV/cell. As for the offset from the most stable computed form: 0.298 eV per atom. The calculation puts the energy at -3.158 eV per atom. Its symmetry is R-3m, No. 166.

KTlSe2 after structural relaxation. Source: Alexandria via LeMat-Bulk, functional GGA-PBEsol.

Cell lengths 4.139, 4.143, 7.945 Å; angles 74.91, 74.90, 60.03 degrees
Sites, in units of the cell vectors:
Tl (0.500, 0.000, 0.000)
K (0.000, 0.500, 0.500)
Se (0.235, 0.735, 0.795)
Se (0.765, 0.265, 0.205)

Results
The uncorrected formation energy is -0.56 eV per atom. For the density of states at the Fermi level, the calculation gives 0.21 states/eV/cell. As for the offset from the most stable computed form: 0.030 eV per atom. The calculation puts the energy at -3.426 eV per atom. Its symmetry is R-3m, No. 166.

KU2Se6 after structural relaxation. Source: Alexandria via LeMat-Bulk, functional GGA-PBEsol.

Cell lengths 3.919, 5.492, 11.266 Å; angles 104.11, 100.02, 90.00 degrees
Sites, in units of the cell vectors:
K (0.000, 0.000, 0.000)
U (0.819, 0.319, 0.638)
U (0.181, 0.681, 0.362)
Se (0.776, 0.776, 0.552)
Se (0.609, 0.861, 0.217)
Se (0.391, 0.139, 0.783)
Se (0.224, 0.224, 0.448)
Se (0.609, 0.356, 0.217)
Se (0.391, 0.644, 0.783)

Results
The uncorrected formation energy is -1.02 eV per atom. For the density of states at the Fermi level, the calculation gives 12.51 states/eV/cell. The calculation puts the energy at -6.416 eV per atom. Its symmetry is Immm, No. 71.

KV5Se8 after structural relaxation. Source: Alexandria via LeMat-Bulk, functional GGA-PBEsol.

Cell lengths 3.351, 8.777, 9.181 Å; angles 104.15, 100.51, 90.00 degrees
Sites, in units of the cell vectors:
K (0.500, 0.000, 0.000)
V (0.000, 0.500, 0.000)
V (0.356, 0.500, 0.711)
V (0.289, 0.141, 0.577)
V (0.711, 0.859, 0.423)
V (0.644, 0.500, 0.289)
Se (0.428, 0.309, 0.856)
Se (0.915, 0.687, 0.831)
Se (0.843, 0.995, 0.685)
Se (0.758, 0.341, 0.516)
Se (0.242, 0.659, 0.484)
Se (0.157, 0.005, 0.315)
Se (0.085, 0.313, 0.169)
Se (0.572, 0.691, 0.144)

Results
The uncorrected formation energy is -0.82 eV per atom. For the density of states at the Fermi level, the calculation gives 8.96 states/eV/cell. The calculation puts the energy at -6.544 eV per atom. Its symmetry is C2/m, No. 12.

K3VSe4 after structural relaxation. Source: Alexandria via LeMat-Bulk, functional GGA-PBEsol.

Cell lengths 6.920, 8.112, 6.920 Å; angles 64.75, 90.00, 115.25 degrees
Sites, in units of the cell vectors:
K (0.500, 0.000, 0.500)
K (0.750, 0.500, 0.750)
K (0.250, 0.500, 0.250)
Se (0.291, 0.198, 0.709)
Se (0.908, 0.198, 0.092)
Se (0.709, 0.802, 0.908)
Se (0.092, 0.802, 0.291)
V (0.000, 0.000, 0.000)

Results
The uncorrected formation energy is -0.90 eV per atom. The calculation puts the energy at -4.453 eV per atom. Its symmetry is I-42m, No. 121.

K2WSe after structural relaxation. Source: Alexandria via LeMat-Bulk, functional GGA-PBEsol.

Cell lengths 3.012, 3.012, 11.498 Å; angles 82.47, 82.47, 60.00 degrees
Sites, in units of the cell vectors:
K (0.244, 0.244, 0.267)
K (0.756, 0.756, 0.733)
Se (0.500, 0.500, 0.500)
W (0.000, 0.000, 0.000)

Results
The uncorrected formation energy is 0.82 eV per atom. For the density of states at the Fermi level, the calculation gives 3.05 states/eV/cell. The calculation puts the energy at -4.157 eV per atom. Its symmetry is R-3m, No. 166.